First-principles (PBE) data for crystalline Pm5Dy12Y2 at its relaxed geometry, as listed in the Alexandria database.

abc: 18.2979 7.0341 10.4672
angles: 90.00 110.87 90.00
Space group C2/m (No. 12)
Unique sites:
Pm (0.0000, 0.0000, 0.0000) x2
Pm (0.1809, 0.5000, 0.7106) x4
Pm (0.1880, 0.0000, 0.6831) x4
Dy (0.0027, 0.5000, 0.1741) x4
Dy (0.0262, 0.0000, 0.7498) x4
Dy (0.1587, 0.2470, 0.3704) x8
Dy (0.1636, 0.2529, 0.0237) x8
Y (0.0000, 0.2693, 0.5000) x4

Summary:
As for the density of states at the Fermi level: 1.5169 states/eV/atom. As for the formation energy from the elements: 0.1778 eV/atom.

=====

First-principles (PBE) data for crystalline ZrTcHg2 at its relaxed geometry, as listed in the Alexandria database.

abc: 6.8017 6.8017 6.8017
angles: 90.00 90.00 90.00
Space group F-43m (No. 216)
Unique sites:
Zr (0.0000, 0.0000, 0.0000) x4
Tc (0.2500, 0.2500, 0.7500) x4
Hg (0.0000, 0.0000, 0.5000) x4
Hg (0.2500, 0.2500, 0.2500) x4

Summary:
As for the density of states at the Fermi level: 0.6711 states/eV/atom. As for the formation energy from the elements: 0.3371 eV/atom.

=====

First-principles (PBE) data for crystalline Ac2YS2O2 at its relaxed geometry, as listed in the Alexandria database.

abc: 4.3870 4.3870 15.5974
angles: 90.00 90.00 90.00
Space group I4/mmm (No. 139)
Unique sites:
Ac (0.0000, 0.0000, 0.1335) x4
Y (0.0000, 0.0000, 0.5000) x2
S (0.0000, 0.0000, 0.3247) x4
O (0.0000, 0.5000, 0.0000) x4

Summary:
As for the density of states at the Fermi level: 0.3364 states/eV/atom. The formation energy without anion corrections comes out at -59.64 kcal/mol of atoms.

=====

First-principles (PBE) data for crystalline Mn5CrTc at its relaxed geometry, as listed in the Alexandria database.

abc: 7.5154 4.5695 9.6935
angles: 90.00 90.00 90.00
Space group Pnma (No. 62)
Unique sites:
Mn (0.0472, 0.2500, 0.0763) x4
Mn (0.0764, 0.5106, 0.3093) x8
Mn (0.0919, 0.7500, 0.5191) x4
Mn (0.1888, 0.7500, 0.7455) x4
Cr (0.1304, 0.2500, 0.8508) x4
Tc (0.2504, 0.2500, 0.5671) x4

Summary:
As for the density of states at the Fermi level: 1.2202 states/eV/atom. As for the formation energy from the elements: 0.1437 eV/atom.